Entry 1:
A plane-wave DFT calculation with PBE was carried out for a relaxed structure of TcAgGeIr2.

Structure (POSCAR):
```
TcAgGeIr2
1.0
4.8514 0.0000 0.0000
0.0000 4.8514 0.0000
0.0000 0.0000 4.8138
Tc Ag Ge Ir
1 1 1 2
direct
0.0000 0.0000 0.0000
0.0000 0.0000 0.5000
0.5000 0.5000 0.0000
0.0000 0.5000 0.5000
0.5000 0.0000 0.5000
```

Summary:
The value obtained for the total magnetization is 3.9 μB per formula unit. The density of states at the Fermi level is 1.11 states/eV per atom. The value obtained for the energy is -4.830 eV per atom.



Entry 2:
A plane-wave DFT calculation with PBE was carried out for a relaxed structure of K2Cd4SnAu3.

Structure (POSCAR):
```
K2Cd4SnAu3
1.0
4.7220 0.0000 0.0000
0.0000 4.7220 0.0000
0.0000 0.0000 12.1927
K Cd Sn Au
2 4 1 3
direct
0.0000 0.5000 0.2459
0.5000 0.0000 0.7541
0.0000 0.0000 0.0000
0.0000 0.5000 0.6401
0.5000 0.0000 0.3599
0.5000 0.5000 0.0000
0.0000 0.0000 0.5000
0.0000 0.5000 0.8655
0.5000 0.0000 0.1345
0.5000 0.5000 0.5000
```

Summary:
The value obtained for the total magnetization is 0.0 μB per formula unit. The density of states at the Fermi level is 0.40 states/eV per atom. The value obtained for the energy is -2.182 eV per atom.



Entry 3:
A plane-wave DFT calculation with PBE was carried out for a relaxed structure of Tl5Sb.

Structure (POSCAR):
```
Tl5Sb
1.0
-3.7950 3.7950 7.0002
3.7950 -3.7950 7.0002
3.7950 3.7950 -7.0002
Tl Sb
10 2
direct
0.0000 0.0000 0.0000
0.0166 0.5166 0.8062
0.2104 0.0166 0.5000
0.2896 0.7896 0.8062
0.4834 0.2896 0.5000
0.5000 0.5000 0.0000
0.5166 0.7104 0.5000
0.7104 0.2104 0.1938
0.7896 0.9834 0.5000
0.9834 0.4834 0.1938
0.2500 0.2500 0.0000
0.7500 0.7500 0.0000
```

Summary:
The formation energy from raw total energies comes out at 27 meV per atom. The value obtained for the total magnetization is 0.0 μB per formula unit. The density of states at the Fermi level is 0.58 states/eV per atom. The value obtained for the energy is -2.632 eV per atom. As for the energy above the most stable polymorph in this dataset: 41 meV per atom.



Entry 4:
A plane-wave DFT calculation with PBE was carried out for a relaxed structure of UTc2B4.

Structure (POSCAR):
```
UTc2B4
1.0
-1.4935 1.7523 7.2216
1.4935 -1.7523 7.2216
1.4935 1.7523 -7.2216
U Tc B
1 2 4
direct
0.0000 0.0000 0.0000
0.1880 0.6880 0.5000
0.8120 0.3120 0.5000
0.3493 0.8493 0.5000
0.4065 0.4065 0.0000
0.5935 0.5935 0.0000
0.6507 0.1507 0.5000
```

Summary:
The value obtained for the total magnetization is 0.7 μB per formula unit. The density of states at the Fermi level is 0.62 states/eV per atom. The value obtained for the energy is -8.779 eV per atom.



Entry 5:
A plane-wave DFT calculation with PBE was carried out for a relaxed structure of TeHAuBr2.

Structure (POSCAR):
```
TeHAuBr2
1.0
5.6829 0.0000 0.0000
0.0000 5.6829 0.0000
0.0000 0.0000 5.2419
Te H Au Br
1 1 1 2
direct
0.0000 0.0000 0.0000
0.5000 0.5000 0.5000
0.0000 0.0000 0.5000
0.0000 0.5000 0.0000
0.5000 0.0000 0.0000
```

Summary:
The value obtained for the total magnetization is 1.0 μB per formula unit. The density of states at the Fermi level is 0.33 states/eV per atom. The value obtained for the energy is -2.159 eV per atom.



Entry 6:
A plane-wave DFT calculation with PBE was carried out for a relaxed structure of BaSm2ReO8.

Structure (POSCAR):
```
BaSm2ReO8
1.0
4.5719 0.0000 0.0000
0.2556 5.2496 0.0000
2.1575 0.0064 6.8751
Ba Sm Re O
1 2 1 8
direct
0.0000 0.0000 0.0000
0.3934 0.5051 0.2846
0.6066 0.4949 0.7154
0.0000 0.0000 0.5000
0.1560 0.2809 0.6002
0.2202 0.7652 0.6118
0.2434 0.4961 0.0081
0.3354 0.9960 0.2633
0.6646 0.0040 0.7367
0.7566 0.5039 0.9919
0.7798 0.2348 0.3882
0.8440 0.7191 0.3998
```

Summary:
The formation energy from raw total energies comes out at -2448 meV per atom. The value obtained for the total magnetization is 0.2 μB per formula unit. The density of states at the Fermi level is 0.12 states/eV per atom. The value obtained for the energy is -7.737 eV per atom.



Entry 7:
A plane-wave DFT calculation with PBE was carried out for a relaxed structure of RbNbTe2N.

Structure (POSCAR):
```
RbNbTe2N
1.0
6.0656 0.0000 0.0000
0.0000 6.0656 0.0000
0.0000 0.0000 4.3601
Rb Nb Te N
1 1 2 1
direct
0.0000 0.0000 0.0000
0.5000 0.5000 0.5000
0.0000 0.5000 0.0000
0.5000 0.0000 0.0000
0.0000 0.0000 0.5000
```

Summary:
The formation energy from raw total energies comes out at 2070 meV per atom. The value obtained for the total magnetization is 3.9 μB per formula unit. The density of states at the Fermi level is 1.31 states/eV per atom. The value obtained for the energy is -3.059 eV per atom. As for the energy above the most stable polymorph in this dataset: 2306 meV per atom.



Entry 8:
A plane-wave DFT calculation with PBE was carried out for a relaxed structure of PdClF2.

Structure (POSCAR):
```
PdClF2
1.0
1.7350 1.0017 8.3705
-1.7350 1.0017 8.3705
0.0000 -2.0034 8.3705
Pd Cl F
1 1 2
direct
0.0000 0.0000 0.0000
0.5000 0.5000 0.5000
0.3660 0.3660 0.3660
0.6340 0.6340 0.6340
```

Summary:
The formation energy from raw total energies comes out at -486 meV per atom. The value obtained for the total magnetization is 0.9 μB per formula unit. The density of states at the Fermi level is 0.85 states/eV per atom. The value obtained for the energy is -3.182 eV per atom. As for the energy above the most stable polymorph in this dataset: 448 meV per atom.



Entry 9:
A plane-wave DFT calculation with PBE was carried out for a relaxed structure of MnNi7Ge2Pt2.

Structure (POSCAR):
```
MnNi7Ge2Pt2
1.0
2.5724 -2.6063 0.0000
2.5724 2.6063 0.0000
0.0000 0.0000 11.5136
Mn Ni Ge Pt
1 7 2 2
direct
0.0000 0.0000 0.0000
0.0000 0.5000 0.1499
0.0000 0.5000 0.8501
0.2331 0.7669 0.5000
0.5000 0.0000 0.1499
0.5000 0.0000 0.8501
0.5000 0.5000 0.0000
0.7669 0.2331 0.5000
0.0000 0.0000 0.3080
0.0000 0.0000 0.6920
0.5000 0.5000 0.3172
0.5000 0.5000 0.6828
```

Summary:
The value obtained for the total magnetization is 5.4 μB per formula unit. The density of states at the Fermi level is 0.94 states/eV per atom. The value obtained for the energy is -6.023 eV per atom.



Entry 10:
A plane-wave DFT calculation with PBE was carried out for a relaxed structure of CaGaCu2P.

Structure (POSCAR):
```
CaGaCu2P
1.0
4.4038 0.0000 0.0000
0.0000 4.4038 0.0000
0.0000 0.0000 5.4489
Ca Ga Cu P
1 1 2 1
direct
0.0000 0.0000 0.0000
0.5000 0.5000 0.0000
0.0000 0.5000 0.5000
0.5000 0.0000 0.5000
0.0000 0.0000 0.5000
```

Summary:
The value obtained for the total magnetization is 0.0 μB per formula unit. The density of states at the Fermi level is 0.48 states/eV per atom. The value obtained for the energy is -3.785 eV per atom.



Entry 11:
A plane-wave DFT calculation with PBE was carried out for a relaxed structure of Zr2TiNi2.

Structure (POSCAR):
```
Zr2TiNi2
1.0
7.5050 0.0000 0.0000
0.0000 7.5050 0.0000
0.0000 0.0000 3.0666
Zr Ti Ni
4 2 4
direct
0.1590 0.3410 0.0000
0.3410 0.8410 0.0000
0.6590 0.1590 0.0000
0.8410 0.6590 0.0000
0.0000 0.0000 0.0000
0.5000 0.5000 0.0000
0.1354 0.6354 0.5000
0.3646 0.1354 0.5000
0.6354 0.8646 0.5000
0.8646 0.3646 0.5000
```

Summary:
The value obtained for the total magnetization is 1.7 μB per formula unit. The density of states at the Fermi level is 0.59 states/eV per atom. The value obtained for the energy is -7.417 eV per atom. As for the energy above the most stable polymorph in this dataset: 214 meV per atom.



Entry 12:
A plane-wave DFT calculation with PBE was carried out for a relaxed structure of Ce4SmSe7.

Structure (POSCAR):
```
Ce4SmSe7
1.0
6.9482 -2.0565 0.0000
6.9482 2.0565 0.0000
-3.2168 0.0000 12.0020
Ce Sm Se
4 1 7
direct
0.0000 0.0000 0.0000
0.1872 0.1872 0.7668
0.5847 0.5847 0.3842
0.8859 0.8859 0.5749
0.7709 0.7709 0.1529
0.1490 0.1490 0.2256
0.2269 0.2269 0.5246
0.3845 0.3845 0.0772
0.5447 0.5447 0.6269
0.6255 0.6255 0.9277
0.8452 0.8452 0.7914
0.9263 0.9263 0.3585
```

Summary:
The formation energy from raw total energies comes out at -1810 meV per atom. The value obtained for the total magnetization is 2.3 μB per formula unit. The density of states at the Fermi level is 2.34 states/eV per atom. The value obtained for the energy is -6.213 eV per atom.



What did the twelfth record say?
A plane-wave DFT calculation with PBE was carried out for a relaxed structure of Ce4SmSe7.

Structure (POSCAR):
```
Ce4SmSe7
1.0
6.9482 -2.0565 0.0000
6.9482 2.0565 0.0000
-3.2168 0.0000 12.0020
Ce Sm Se
4 1 7
direct
0.0000 0.0000 0.0000
0.1872 0.1872 0.7668
0.5847 0.5847 0.3842
0.8859 0.8859 0.5749
0.7709 0.7709 0.1529
0.1490 0.1490 0.2256
0.2269 0.2269 0.5246
0.3845 0.3845 0.0772
0.5447 0.5447 0.6269
0.6255 0.6255 0.9277
0.8452 0.8452 0.7914
0.9263 0.9263 0.3585
```

Summary:
The formation energy from raw total energies comes out at -1810 meV per atom. The value obtained for the total magnetization is 2.3 μB per formula unit. The density of states at the Fermi level is 2.34 states/eV per atom. The value obtained for the energy is -6.213 eV per atom.



Please write out number 12 again, unchanged.
A plane-wave DFT calculation with PBE was carried out for a relaxed structure of Ce4SmSe7.

Structure (POSCAR):
```
Ce4SmSe7
1.0
6.9482 -2.0565 0.0000
6.9482 2.0565 0.0000
-3.2168 0.0000 12.0020
Ce Sm Se
4 1 7
direct
0.0000 0.0000 0.0000
0.1872 0.1872 0.7668
0.5847 0.5847 0.3842
0.8859 0.8859 0.5749
0.7709 0.7709 0.1529
0.1490 0.1490 0.2256
0.2269 0.2269 0.5246
0.3845 0.3845 0.0772
0.5447 0.5447 0.6269
0.6255 0.6255 0.9277
0.8452 0.8452 0.7914
0.9263 0.9263 0.3585
```

Summary:
The formation energy from raw total energies comes out at -1810 meV per atom. The value obtained for the total magnetization is 2.3 μB per formula unit. The density of states at the Fermi level is 2.34 states/eV per atom. The value obtained for the energy is -6.213 eV per atom.